Entry 1:
Crystalline LaAl3Pt at its relaxed geometry, computed with PBE.

Structure (extended XYZ):
```
5
Lattice="0.0000 3.0932 5.3705 3.0902 0.0000 5.3705 3.0902 3.0932 0.0000" Properties=species:S:1:pos:R:3 pbc="T T T"
La 0.0000 0.0000 0.0000
Al 1.5451 1.5466 2.7552
Al 3.0902 3.0932 4.4207
Al 4.6353 4.6397 8.1256
Pt 3.0902 3.0932 6.8910
```

ΔE to the lowest computed polymorph in meV per atom: 0.0


Entry 2:
Crystalline LaAlPt at its relaxed geometry, computed with PBE.

Structure (extended XYZ):
```
12
Lattice="6.7248 0.0000 0.0000 0.0000 6.7248 0.0000 0.0000 0.0000 6.7248" Properties=species:S:1:pos:R:3 pbc="T T T"
La 0.0000 0.0000 0.0000
La 0.0000 3.3624 3.3624
La 3.3624 0.0000 3.3624
La 3.3624 3.3624 0.0000
Al 0.0000 0.0000 3.3624
Al 0.0000 3.3624 0.0000
Al 3.3624 0.0000 0.0000
Al 3.3624 3.3624 3.3624
Pt 1.6812 1.6812 1.6812
Pt 1.6812 5.0436 5.0436
Pt 5.0436 1.6812 5.0436
Pt 5.0436 5.0436 1.6812
```


Listing V for the structures above in their given order: 20.53, 25.34 Å³ per atom.
Listing M_tot for the structures above in their given order: 0.00, 0.00 μB/f.u..
Listing DFT formation energy for the structures above in their given order: -4.34, -2.30 eV/f.u..